Record 1
Tb10Nd4Sm | PBE-GGA | relaxed

It has space group I4/m (No. 87), with a = 12.257 Å, b = 12.257 Å, c = 7.798 Å, α = 90.00°, β = 90.00° and γ = 90.00°. The inequivalent atoms are Tb at (0.000, 0.500, 0.250), Tb at (0.099, 0.800, 0.249), Nd at (0.101, 0.299, 0.500) and Sm at (0.000, 0.000, 0.000).

The energy of formation comes out at 0.7528 eV per atom. Its total magnetization is 0.000 Bohr magnetons per cell. As for the density: 6.57 g cm⁻³.


Record 2
YTm5Pd6 | PBE-GGA | relaxed

It has space group Immm (No. 71), with a = 4.954 Å, b = 6.813 Å, c = 14.857 Å, α = 90.00°, β = 90.00° and γ = 90.00°. The inequivalent atoms are Y at (0.000, 0.000, 0.000), Tm at (0.000, 0.000, 0.333), Tm at (0.000, 0.500, 0.000), Tm at (0.000, 0.500, 0.333), Pd at (0.000, 0.244, 0.500) and Pd at (0.000, 0.252, 0.169).

The energy of formation comes out at -0.9289 eV per atom. Its total magnetization is 0.000 Bohr magnetons per cell. As for the density: 10.41 g cm⁻³.


Record 3
BeAsIr3 | PBE-GGA | relaxed

It has space group Pm-3m (No. 221), with a = 4.193 Å, b = 4.193 Å, c = 4.193 Å, α = 90.00°, β = 90.00° and γ = 90.00°. The inequivalent atoms are Be at (0.000, 0.000, 0.000), As at (0.500, 0.500, 0.500) and Ir at (0.000, 0.000, 0.500).

The energy of formation comes out at 0.5028 eV per atom. The polymorph energy (0 for the lowest one) is 0 meV per atom. Its total magnetization is 0.000 Bohr magnetons per cell. As for the density: 14.88 g cm⁻³.


Record 4
BaTl2Ag2 | PBE-GGA | relaxed

It has space group P4/mbm (No. 127), with a = 8.843 Å, b = 8.843 Å, c = 3.641 Å, α = 90.00°, β = 90.00° and γ = 90.00°. The inequivalent atoms are Ba at (0.000, 0.000, 0.000), Tl at (0.129, 0.371, 0.000) and Ag at (0.164, 0.664, 0.500).

The energy of formation comes out at -0.0138 eV per atom. The polymorph energy (0 for the lowest one) is 166 meV per atom. Its total magnetization is 0.000 Bohr magnetons per cell. As for the density: 8.88 g cm⁻³.